No. 1
KGeAs2N | PBE-GGA | relaxed

Summary:
Spin magnetization in μB per atom: 0.000
Formation energy without anion corrections in eV/atom: 0.709

Cell lengths 5.576, 3.583, 5.576 Å; angles 90.00, 90.00, 90.00 degrees
Sites, in units of the cell vectors:
K 0.500 0.500 0.500
As 0.000 0.000 0.500
As 0.500 0.000 0.000
Ge 0.000 0.000 0.000
N 0.000 0.500 0.000


No. 2
KNa4GeAs3 | PBE-GGA | relaxed

Summary:
Spin magnetization in μB per atom: 0.000
ΔH_f (0 K) in eV/atom: -0.41

Cell lengths 4.803, 13.236, 15.280 Å; angles 90.00, 90.00, 90.00 degrees
Sites, in units of the cell vectors:
K 0.250 0.129 0.517
K 0.750 0.871 0.483
K 0.750 0.629 0.983
K 0.250 0.371 0.017
Na 0.250 0.428 0.562
Na 0.750 0.572 0.438
Na 0.750 0.928 0.938
Na 0.250 0.072 0.062
Na 0.250 0.810 0.080
Na 0.750 0.190 0.920
Na 0.750 0.310 0.420
Na 0.250 0.690 0.580
Na 0.250 0.238 0.256
Na 0.750 0.762 0.744
Na 0.750 0.738 0.244
Na 0.250 0.262 0.756
Na 0.250 0.940 0.287
Na 0.750 0.060 0.713
Na 0.750 0.440 0.213
Na 0.250 0.560 0.787
Ge 0.250 0.585 0.294
Ge 0.750 0.415 0.706
Ge 0.750 0.085 0.206
Ge 0.250 0.915 0.794
As 0.250 0.591 0.140
As 0.750 0.409 0.860
As 0.750 0.091 0.360
As 0.250 0.909 0.640
As 0.250 0.424 0.366
As 0.750 0.576 0.634
As 0.750 0.924 0.134
As 0.250 0.076 0.866
As 0.250 0.733 0.383
As 0.750 0.267 0.617
As 0.750 0.233 0.117
As 0.250 0.767 0.883


No. 3
KNaGeAs | PBE-GGA | relaxed

Summary:
Spin magnetization in μB per atom: 0.000
ΔH_f (0 K) in eV/atom: -0.18

Cell lengths 3.924, 3.924, 9.976 Å; angles 90.15, 101.18, 120.03 degrees
Sites, in units of the cell vectors:
K 0.498 0.632 0.130
Na 0.571 0.173 0.744
Ge 0.752 0.762 0.513
As 0.335 0.052 0.387


No. 4
KNi2GeAs | PBE-GGA | relaxed

Summary:
Spin magnetization in μB per atom: 0.000
ΔH_f (0 K) in eV/atom: 1.88

Cell lengths 4.502, 5.419, 4.502 Å; angles 90.00, 90.00, 90.00 degrees
Sites, in units of the cell vectors:
K 0.000 0.000 0.000
Ni 0.000 0.000 0.500
Ni 0.500 0.000 0.000
As 0.500 0.500 0.500
Ge 0.000 0.500 0.000


No. 5
KGeAsO5 | PBE-GGA | relaxed

Summary:
Spin magnetization in μB per atom: 0.000
Formation energy without anion corrections in eV/atom: -1.466

Cell lengths 5.792, 5.792, 6.935 Å; angles 104.25, 104.25, 105.49 degrees
Sites, in units of the cell vectors:
K 0.342 0.658 0.250
K 0.658 0.342 0.750
Ge 0.000 0.000 0.500
Ge 0.000 0.000 0.000
As 0.698 0.302 0.250
As 0.302 0.698 0.750
O 0.062 0.938 0.250
O 0.938 0.062 0.750
O 0.905 0.292 0.106
O 0.095 0.708 0.894
O 0.708 0.095 0.394
O 0.292 0.905 0.606
O 0.781 0.607 0.421
O 0.219 0.393 0.579
O 0.393 0.219 0.079
O 0.607 0.781 0.921


No. 6
K2GeAsPd6 | PBE-GGA | relaxed

Summary:
Spin magnetization in μB per atom: 0.000
ΔH_f (0 K) in eV/atom: -0.31

Cell lengths 6.717, 6.677, 6.716 Å; angles 60.21, 59.64, 90.00 degrees
Sites, in units of the cell vectors:
K 0.700 0.300 0.400
K 0.300 0.700 0.600
Ge 0.000 0.000 0.000
As 0.500 0.500 0.000
Pd 0.143 0.312 0.496
Pd 0.808 0.857 0.831
Pd 0.312 0.808 0.049
Pd 0.688 0.192 0.951
Pd 0.192 0.143 0.169
Pd 0.857 0.688 0.504


- Which formula does entry 3 have?
  KNaGeAs